Record 1
Crystalline Ce3Pm4ScSe8 at its relaxed geometry, computed with PBE-GGA.

Properties
space-group type: R-3m
raw total energy: -6.227 eV per atom
ΔE_f (raw): -173 kJ/mol of atoms
total magnetization: 2.77 μB per formula unit

Cell and atoms, written as extended XYZ:
```
16
Lattice="8.3255 0.0000 0.0000 0.0000 8.3273 -0.0046 -4.1627 -4.1590 5.8906" Properties=species:S:1:pos:R:3 pbc="T T T"
Ce 4.1627 4.1636 -0.0023
Ce 2.0814 2.0841 2.9430
Ce -2.0814 2.0841 2.9430
Pm 4.1627 0.0000 0.0000
Pm 2.0814 -2.0795 2.9453
Pm 0.0000 0.0000 0.0000
Pm -2.0814 -2.0795 2.9453
Sc 0.0000 4.1636 -0.0023
Se 2.0119 6.1739 -0.0025
Se 0.0000 4.1660 2.8428
Se 0.0000 -0.0009 2.9406
Se 6.3135 6.1739 -0.0025
Se -2.1508 -2.0057 5.8886
Se 4.1627 4.1692 2.9455
Se 4.1627 0.0023 3.0432
Se 2.1508 -2.0057 5.8886
```

---

Record 2
Crystalline CePmSmSc at its relaxed geometry, computed with PBE-GGA.

Properties
space-group type: F-43m
raw total energy: -5.248 eV per atom
energy of formation: 186 meV/atom
total magnetization: 1.05 μB per formula unit

Cell and atoms, written as extended XYZ:
```
4
Lattice="5.5954 0.0000 0.0000 2.7977 4.8457 0.0000 2.7977 1.6152 4.5686" Properties=species:S:1:pos:R:3 pbc="T T T"
Sc 5.5954 3.2305 2.2843
Ce 8.3930 4.8457 3.4264
Sm 2.7977 1.6152 1.1421
Pm 0.0000 0.0000 0.0000
```

---

Record 3
Crystalline CePmScSn at its relaxed geometry, computed with PBE-GGA.

Properties
space-group type: F-43m
raw total energy: -5.462 eV per atom
energy of formation: -207 meV/atom
total magnetization: 0.15 μB per formula unit

Cell and atoms, written as extended XYZ:
```
4
Lattice="-3.8384 -1.0294 -3.5364 -0.0763 -4.6619 -2.5613 -3.7595 -3.5917 1.1249" Properties=species:S:1:pos:R:3 pbc="T T T"
Sc -5.7557 -6.9623 -3.7296
Sn 0.0000 0.0000 0.0000
Ce -1.9186 -2.3208 -1.2432
Pm -3.8371 -4.6415 -2.4864
```

---

Record 4
Crystalline TbCePmSc at its relaxed geometry, computed with PBE-GGA.

Properties
space-group type: F-43m
raw total energy: -5.224 eV per atom
energy of formation: 188 meV/atom
total magnetization: 1.43 μB per formula unit

Cell and atoms, written as extended XYZ:
```
4
Lattice="5.5762 0.0000 0.0000 2.7881 4.8291 0.0000 2.7881 1.6097 4.5529" Properties=species:S:1:pos:R:3 pbc="T T T"
Sc 0.0000 0.0000 0.0000
Tb 2.7881 1.6097 1.1382
Ce 8.3642 4.8291 3.4147
Pm 5.5762 3.2194 2.2765
```

---

Record 5
Crystalline Ce3Pm3ScTe8 at its relaxed geometry, computed with PBE-GGA.

Properties
space-group type: R-3m
raw total energy: -5.617 eV per atom
ΔE_f (raw): -133 kJ/mol of atoms
total magnetization: 3.88 μB per formula unit

Cell and atoms, written as extended XYZ:
```
15
Lattice="-1.7572 -3.6529 -7.9241 7.8988 3.8351 1.4793 -2.0323 -7.7016 4.0010" Properties=species:S:1:pos:R:3 pbc="T T T"
Ce -1.8947 -5.6773 -1.9615
Ce 2.0547 -3.7597 -1.2219
Ce 2.9333 -1.9333 2.7402
Pm 0.0000 0.0000 0.0000
Pm 3.9494 1.9175 0.7397
Pm 3.0708 0.0911 -3.2224
Sc -1.0161 -3.8508 2.0005
Te 2.9997 -0.9074 -0.2469
Te 1.1096 -6.6120 -2.1968
Te 2.2190 -2.7664 -4.2156
Te 1.8903 -4.7531 1.7719
Te 6.0337 -0.9148 -3.5028
Te -1.9244 -6.6046 1.0591
Te 6.9430 0.9753 0.5973
Te -2.8336 -8.4947 -3.0410
```

---

Record 6
Crystalline CePm2ScTe4 at its relaxed geometry, computed with PBE-GGA.

Properties
space-group type: P2/m
raw total energy: -5.596 eV per atom
ΔE_f (raw): -126 kJ/mol of atoms
total magnetization: 1.18 μB per formula unit

Cell and atoms, written as extended XYZ:
```
8
Lattice="4.3654 0.0000 0.0000 0.0000 7.6497 0.1657 0.0000 -2.6411 7.1728" Properties=species:S:1:pos:R:3 pbc="T T T"
Ce 2.1827 3.8248 0.0829
Pm 2.1827 -1.3205 3.5864
Pm 0.0000 2.5043 3.6693
Sc 0.0000 0.0000 0.0000
Te 2.1827 1.1711 1.7201
Te 2.1827 3.8375 5.6185
Te 0.0000 -0.1538 5.4699
Te 0.0000 5.1624 1.8686
```

---

Record 7
Crystalline CePmThSc at its relaxed geometry, computed with PBE-GGA.

Properties
space-group type: F-43m
raw total energy: -5.918 eV per atom
energy of formation: 191 meV/atom
total magnetization: 0.76 μB per formula unit

Cell and atoms, written as extended XYZ:
```
4
Lattice="5.5343 0.0000 0.0000 2.7672 4.7929 0.0000 2.7672 1.5976 4.5188" Properties=species:S:1:pos:R:3 pbc="T T T"
Sc 0.0000 0.0000 0.0000
Ce 5.5343 3.1952 2.2594
Th 2.7672 1.5976 1.1297
Pm 8.3015 4.7929 3.3891
```

---

Record 8
Crystalline CePmScTi at its relaxed geometry, computed with PBE-GGA.

Properties
space-group type: F-43m
raw total energy: -6.002 eV per atom
energy of formation: 226 meV/atom
total magnetization: 1.21 μB per formula unit

Cell and atoms, written as extended XYZ:
```
4
Lattice="5.2775 0.0000 0.0000 2.6388 4.5705 0.0000 2.6388 1.5235 4.3091" Properties=species:S:1:pos:R:3 pbc="T T T"
Sc 7.9163 4.5705 3.2318
Ti 2.6388 1.5235 1.0773
Ce 5.2775 3.0470 2.1545
Pm 0.0000 0.0000 0.0000
```